Record 1
The following is a DFT calculation (PBE) of a relaxed structure of Pr6InGe2.

abc: 8.9611 8.9611 8.9611
angles: 112.03 109.61 106.82
Last column: nearest neighbours and their distance in Å.
Fractional positions:
Pr 0.0444 0.2469 0.7974  2 Ge 3.11-3.39, 2 In 3.37-3.42
Pr 0.1818 0.2745 0.4563  3 Ge 3.20-3.32, 1 In 3.33
Pr 0.1818 0.7255 0.9074  3 Ge 3.20-3.32, 1 In 3.33
Pr 0.3246 0.0307 0.7061  3 Ge 3.02-3.13
Pr 0.3246 0.6184 0.2939  3 Ge 3.02-3.13
Pr 0.4495 0.2469 0.2026  2 Ge 3.11-3.39, 2 In 3.37-3.42
Pr 0.5505 0.7531 0.7974  2 Ge 3.11-3.39, 2 In 3.37-3.42
Pr 0.6754 0.3816 0.7061  3 Ge 3.02-3.13
Pr 0.6754 0.9693 0.2939  3 Ge 3.02-3.13
Pr 0.8182 0.2745 0.0926  3 Ge 3.20-3.32, 1 In 3.33
Pr 0.8182 0.7255 0.5437  3 Ge 3.20-3.32, 1 In 3.33
Pr 0.9556 0.7531 0.2026  2 Ge 3.11-3.39, 2 In 3.37-3.42
In 0.0000 0.0000 0.0000  8 Pr 3.33-3.37
In 0.5000 0.5000 0.0000  8 Pr 3.42-3.49
Ge 0.1180 0.6180 0.5000  1 Ge 2.52
Ge 0.3617 0.0000 0.3617  1 Ge 2.86, 6 Pr 3.11-3.13
Ge 0.6383 0.0000 0.6383  1 Ge 2.86, 6 Pr 3.11-3.13
Ge 0.8820 0.3820 0.5000  1 Ge 2.52

M_tot	0.000	μB/f.u.
formation enthalpy at 0 K	-0.52	eV/atom

---

Record 2
The following is a DFT calculation (PBE) of a relaxed structure of Pr2InGe.

abc: 3.9704 3.9704 6.9386
angles: 90.00 90.00 90.00
Last column: nearest neighbours and their distance in Å.
Fractional positions:
Pr 0.0000 0.0000 0.2259  1 Pr 3.13, 4 Ge 3.22, 4 In 3.39
Pr 0.0000 0.0000 0.7741  1 Pr 3.13, 4 Ge 3.22, 4 In 3.39
In 0.5000 0.5000 0.5000  8 Pr 3.39, 2 Ge 3.47
Ge 0.5000 0.5000 0.0000  8 Pr 3.22, 2 In 3.47

M_tot	0.000	μB/f.u.
formation enthalpy at 0 K	-0.55	eV/atom

---

Record 3
The following is a DFT calculation (PBE) of a relaxed structure of Pr12In3Ge5.

abc: 15.6296 15.6296 15.6296
angles: 109.47 109.47 109.47
Last column: nearest neighbours and their distance in Å.
Fractional positions:
Pr 0.0435 0.2160 0.1257  2 Ge 2.85-2.98
Pr 0.0435 0.3275 0.9177  2 Ge 2.85-2.98
Pr 0.0823 0.6257 0.4098  2 Ge 2.85-2.98
Pr 0.0823 0.9565 0.6725  2 Ge 2.85-2.98
Pr 0.0902 0.7160 0.6725  2 Ge 2.85-2.98
Pr 0.0902 0.8743 0.4177  2 Ge 2.85-2.98
Pr 0.1257 0.0435 0.2160  2 Ge 2.85-2.98
Pr 0.1257 0.5823 0.9098  2 Ge 2.85-2.98
Pr 0.1725 0.2160 0.5902  2 Ge 2.85-2.98
Pr 0.1725 0.4565 0.5823  2 Ge 2.85-2.98
Pr 0.2160 0.1257 0.0435  2 Ge 2.85-2.98
Pr 0.2160 0.5902 0.1725  2 Ge 2.85-2.98
Pr 0.2840 0.3275 0.9098  2 Ge 2.85-2.98
Pr 0.2840 0.4565 0.3743  2 Ge 2.85-2.98
Pr 0.3275 0.9098 0.2840  2 Ge 2.85-2.98
Pr 0.3275 0.9177 0.0435  2 Ge 2.85-2.98
Pr 0.3743 0.2840 0.4565  2 Ge 2.85-2.98
Pr 0.3743 0.5902 0.9177  2 Ge 2.85-2.98
Pr 0.4098 0.0823 0.6257  2 Ge 2.85-2.98
Pr 0.4098 0.8275 0.7840  2 Ge 2.85-2.98
Pr 0.4177 0.0902 0.8743  2 Ge 2.85-2.98
Pr 0.4177 0.8275 0.5435  2 Ge 2.85-2.98
Pr 0.4565 0.3743 0.2840  2 Ge 2.85-2.98
Pr 0.4565 0.5823 0.1725  2 Ge 2.85-2.98
Pr 0.5435 0.4177 0.8275  2 Ge 2.85-2.98
Pr 0.5435 0.6257 0.7160  2 Ge 2.85-2.98
Pr 0.5823 0.1725 0.4565  2 Ge 2.85-2.98
Pr 0.5823 0.9098 0.1257  2 Ge 2.85-2.98
Pr 0.5902 0.1725 0.2160  2 Ge 2.85-2.98
Pr 0.5902 0.9177 0.3743  2 Ge 2.85-2.98
Pr 0.6257 0.4098 0.0823  2 Ge 2.85-2.98
Pr 0.6257 0.7160 0.5435  2 Ge 2.85-2.98
Pr 0.6725 0.0823 0.9565  2 Ge 2.85-2.98
Pr 0.6725 0.0902 0.7160  2 Ge 2.85-2.98
Pr 0.7160 0.5435 0.6257  2 Ge 2.85-2.98
Pr 0.7160 0.6725 0.0902  2 Ge 2.85-2.98
Pr 0.7840 0.4098 0.8275  2 Ge 2.85-2.98
Pr 0.7840 0.8743 0.9565  2 Ge 2.85-2.98
Pr 0.8275 0.5435 0.4177  2 Ge 2.85-2.98
Pr 0.8275 0.7840 0.4098  2 Ge 2.85-2.98
Pr 0.8743 0.4177 0.0902  2 Ge 2.85-2.98
Pr 0.8743 0.9565 0.7840  2 Ge 2.85-2.98
Pr 0.9098 0.1257 0.5823  2 Ge 2.85-2.98
Pr 0.9098 0.2840 0.3275  2 Ge 2.85-2.98
Pr 0.9177 0.0435 0.3275  2 Ge 2.85-2.98
Pr 0.9177 0.3743 0.5902  2 Ge 2.85-2.98
Pr 0.9565 0.6725 0.0823  2 Ge 2.85-2.98
Pr 0.9565 0.7840 0.8743  2 Ge 2.85-2.98
In 0.1250 0.2500 0.3750  8 Pr 3.36-3.46
In 0.1250 0.3750 0.7500  8 Pr 3.36-3.46
In 0.2500 0.3750 0.1250  8 Pr 3.36-3.46
In 0.2500 0.8750 0.6250  8 Pr 3.36-3.46
In 0.3750 0.1250 0.2500  8 Pr 3.36-3.46
In 0.3750 0.7500 0.1250  8 Pr 3.36-3.46
In 0.6250 0.2500 0.8750  8 Pr 3.36-3.46
In 0.6250 0.8750 0.7500  8 Pr 3.36-3.46
In 0.7500 0.1250 0.3750  8 Pr 3.36-3.46
In 0.7500 0.6250 0.8750  8 Pr 3.36-3.46
In 0.8750 0.6250 0.2500  8 Pr 3.36-3.46
In 0.8750 0.7500 0.6250  8 Pr 3.36-3.46
Ge 0.0000 0.0000 0.0000  6 Pr 2.98
Ge 0.0000 0.0000 0.5000  6 Pr 2.98
Ge 0.0000 0.5000 0.0000  6 Pr 2.98
Ge 0.0000 0.5000 0.5000  6 Pr 2.98
Ge 0.1250 0.7500 0.8750  4 Pr 2.85
Ge 0.1250 0.8750 0.2500  4 Pr 2.85
Ge 0.2500 0.1250 0.8750  4 Pr 2.85
Ge 0.2500 0.6250 0.3750  4 Pr 2.85
Ge 0.3750 0.2500 0.6250  4 Pr 2.85
Ge 0.3750 0.6250 0.7500  4 Pr 2.85
Ge 0.5000 0.0000 0.0000  6 Pr 2.98
Ge 0.5000 0.0000 0.5000  6 Pr 2.98
Ge 0.5000 0.5000 0.0000  6 Pr 2.98
Ge 0.5000 0.5000 0.5000  6 Pr 2.98
Ge 0.6250 0.3750 0.2500  4 Pr 2.85
Ge 0.6250 0.7500 0.3750  4 Pr 2.85
Ge 0.7500 0.3750 0.6250  4 Pr 2.85
Ge 0.7500 0.8750 0.1250  4 Pr 2.85
Ge 0.8750 0.1250 0.7500  4 Pr 2.85
Ge 0.8750 0.2500 0.1250  4 Pr 2.85

M_tot	0.000	μB/f.u.
formation enthalpy at 0 K	-0.24	eV/atom

---

Record 4
The following is a DFT calculation (PBE) of a relaxed structure of Pr5In2Ge.

abc: 7.0112 13.3526 5.2615
angles: 90.00 90.00 90.00
Last column: nearest neighbours and their distance in Å.
Fractional positions:
Pr 0.0000 0.0000 0.0000  4 In 3.46, 2 Ge 3.51, 4 Pr 3.69
Pr 0.1277 0.2826 0.0000  1 Ge 3.04, 2 In 3.28
Pr 0.1716 0.5873 0.5000  2 Ge 3.12, 2 In 3.26-3.44, 1 Pr 3.35
Pr 0.3284 0.0873 0.5000  2 Ge 3.12, 2 In 3.26-3.44, 1 Pr 3.35
Pr 0.3723 0.7826 0.0000  1 Ge 3.04, 2 In 3.28
Pr 0.5000 0.5000 0.0000  4 In 3.46, 2 Ge 3.51, 4 Pr 3.69
Pr 0.6277 0.2174 0.0000  1 Ge 3.04, 2 In 3.28
Pr 0.6716 0.9127 0.5000  2 Ge 3.12, 2 In 3.26-3.44, 1 Pr 3.35
Pr 0.8284 0.4127 0.5000  2 Ge 3.12, 2 In 3.26-3.44, 1 Pr 3.35
Pr 0.8723 0.7174 0.0000  1 Ge 3.04, 2 In 3.28
In 0.1174 0.8434 0.5000  9 Pr 3.26-3.58
In 0.3826 0.3434 0.5000  9 Pr 3.26-3.58
In 0.6174 0.6566 0.5000  9 Pr 3.26-3.58
In 0.8826 0.1566 0.5000  9 Pr 3.26-3.58
Ge 0.0000 0.5000 0.0000  6 Pr 3.04-3.12
Ge 0.5000 0.0000 0.0000  6 Pr 3.04-3.12

M_tot	0.000	μB/f.u.
formation enthalpy at 0 K	-0.46	eV/atom

---

Number 1: total DFT energy (no corrections) -5.03 eV/atom. Number 2: total DFT energy (no corrections) -4.78 eV/atom. Number 3: total DFT energy (no corrections) -4.67 eV/atom. Number 4: total DFT energy (no corrections) -4.71 eV/atom.